(1)
Below is an optimized crystal structure of Pm6SnSb2, with properties calculated at the PBE-GGA level.

Results
Total magnetization ... 3.0 μB per formula unit
DFT total energy ... -47.30 eV/cell
Density ... 7.340 g/cm3
Density of states at the Fermi level ... 11.636 states/eV/f.u.
V ... 31.0 Å³/atom
Raw formation energy ... -0.7275 eV/atom

a = 8.5340 Å, b = 8.5340 Å, c = 4.4198 Å
α = 90.00°, β = 90.00°, γ = 120.00°
Last column: nearest neighbours and their distance in Å.
Atoms (fractional coordinates):
Pm1 0.0000 0.2609 0.0000  2 Sn 3.14, 2 Sb 3.20
Pm2 0.0000 0.5895 0.5000  4 Sb 3.40, 1 Sn 3.50, 6 Pm 3.57-3.78
Pm3 0.2609 0.0000 0.0000  2 Sn 3.14, 2 Sb 3.20
Pm4 0.4105 0.4105 0.5000  4 Sb 3.40, 1 Sn 3.50, 6 Pm 3.57-3.78
Pm5 0.5895 0.0000 0.5000  4 Sb 3.40, 1 Sn 3.50, 6 Pm 3.57-3.78
Pm6 0.7391 0.7391 0.0000  2 Sn 3.14, 2 Sb 3.20
Sn1 0.0000 0.0000 0.5000  9 Pm 3.14-3.50
Sb1 0.3333 0.6667 0.0000  9 Pm 3.20-3.40
Sb2 0.6667 0.3333 0.0000  9 Pm 3.20-3.40

---

(2)
Below is an optimized crystal structure of SrPmSnSb, with properties calculated at the PBE-GGA level.

Results
Total magnetization ... 0.0 μB per formula unit
DFT total energy ... -17.06 eV/cell
Density ... 6.317 g/cm3
Density of states at the Fermi level ... 5.109 states/eV/f.u.
V ... 31.1 Å³/atom
Raw formation energy ... -0.6252 eV/atom

a = 5.6027 Å, b = 5.6027 Å, c = 5.6027 Å
α = 60.00°, β = 60.00°, γ = 60.00°
Last column: nearest neighbours and their distance in Å.
Atoms (fractional coordinates):
Sr1 0.0000 0.0000 0.0000  4 Sn 3.43, 4 Sb 3.43
Pm1 0.5000 0.5000 0.5000  4 Sn 3.43, 4 Sb 3.43
Sn1 0.7500 0.7500 0.7500  4 Sr 3.43, 4 Pm 3.43
Sb1 0.2500 0.2500 0.2500  4 Pm 3.43, 4 Sr 3.43

---

(3)
Below is an optimized crystal structure of TbPmSnSb, with properties calculated at the PBE-GGA level.

Results
Total magnetization ... 0.0 μB per formula unit
DFT total energy ... -20.13 eV/cell
Density ... 7.955 g/cm3
Density of states at the Fermi level ... 6.251 states/eV/f.u.
V ... 28.4 Å³/atom
Raw formation energy ... -0.6564 eV/atom

a = 5.4367 Å, b = 5.4367 Å, c = 5.4367 Å
α = 60.00°, β = 60.00°, γ = 60.00°
Last column: nearest neighbours and their distance in Å.
Atoms (fractional coordinates):
Tb1 0.0000 0.0000 0.0000  4 Sn 3.33, 4 Sb 3.33
Pm1 0.5000 0.5000 0.5000  4 Sn 3.33, 4 Sb 3.33
Sn1 0.7500 0.7500 0.7500  4 Pm 3.33, 4 Tb 3.33
Sb1 0.2500 0.2500 0.2500  4 Tb 3.33, 4 Pm 3.33

---

(4)
Below is an optimized crystal structure of Pm8SnSb3Te4, with properties calculated at the PBE-GGA level.

Results
Total magnetization ... 0.0 μB per formula unit
DFT total energy ... -87.64 eV/cell
Density ... 6.980 g/cm3
Density of states at the Fermi level ... 6.413 states/eV/f.u.
V ... 32.0 Å³/atom
Raw formation energy ... -1.2935 eV/atom

a = 8.9869 Å, b = 8.9869 Å, c = 8.9869 Å
α = 59.94°, β = 59.94°, γ = 59.94°
Last column: nearest neighbours and their distance in Å.
Atoms (fractional coordinates):
Pm1 0.2466 0.2466 0.2466  3 Sb 3.13, 3 Te 3.22
Pm2 0.2488 0.7454 0.7454  1 Sn 3.12, 2 Sb 3.14, 3 Te 3.21-3.23
Pm3 0.2546 0.2546 0.7512  1 Sn 3.12, 2 Sb 3.14, 3 Te 3.21-3.23
Pm4 0.2546 0.7512 0.2546  1 Sn 3.12, 2 Sb 3.14, 3 Te 3.21-3.23
Pm5 0.7454 0.2488 0.7454  1 Sn 3.12, 2 Sb 3.14, 3 Te 3.21-3.23
Pm6 0.7454 0.7454 0.2488  1 Sn 3.12, 2 Sb 3.14, 3 Te 3.21-3.23
Pm7 0.7512 0.2546 0.2546  1 Sn 3.12, 2 Sb 3.14, 3 Te 3.21-3.23
Pm8 0.7534 0.7534 0.7534  3 Sb 3.13, 3 Te 3.22
Sn1 0.5000 0.5000 0.5000  6 Pm 3.12
Sb1 0.0000 0.0000 0.5000  6 Pm 3.13-3.14
Sb2 0.0000 0.5000 0.0000  6 Pm 3.13-3.14
Sb3 0.5000 0.0000 0.0000  6 Pm 3.13-3.14
Te1 0.0000 0.0000 0.0000  6 Pm 3.23
Te2 0.0000 0.5000 0.5000  6 Pm 3.21-3.22
Te3 0.5000 0.0000 0.5000  6 Pm 3.21-3.22
Te4 0.5000 0.5000 0.0000  6 Pm 3.21-3.22

---

(5)
Below is an optimized crystal structure of PmThSnSb, with properties calculated at the PBE-GGA level.

Results
Total magnetization ... 0.0 μB per formula unit
DFT total energy ... -22.78 eV/cell
Density ... 8.843 g/cm3
Density of states at the Fermi level ... 5.585 states/eV/f.u.
V ... 29.0 Å³/atom
Raw formation energy ... -0.6213 eV/atom

a = 5.4736 Å, b = 5.4736 Å, c = 5.4736 Å
α = 60.00°, β = 60.00°, γ = 60.00°
Last column: nearest neighbours and their distance in Å.
Atoms (fractional coordinates):
Pm1 0.0000 0.0000 0.0000  4 Sn 3.35, 4 Sb 3.35
Th1 0.5000 0.5000 0.5000  4 Sn 3.35, 4 Sb 3.35
Sn1 0.7500 0.7500 0.7500  4 Th 3.35, 4 Pm 3.35
Sb1 0.2500 0.2500 0.2500  4 Th 3.35, 4 Pm 3.35

---

(6)
Below is an optimized crystal structure of PmUSnSb, with properties calculated at the PBE-GGA level.

Results
Total magnetization ... 3.0 μB per formula unit
DFT total energy ... -25.38 eV/cell
Density ... 9.458 g/cm3
Density of states at the Fermi level ... 5.913 states/eV/f.u.
V ... 27.4 Å³/atom
Raw formation energy ... -0.3045 eV/atom

a = 5.3696 Å, b = 5.3696 Å, c = 5.3696 Å
α = 60.00°, β = 60.00°, γ = 60.00°
Last column: nearest neighbours and their distance in Å.
Atoms (fractional coordinates):
Pm1 0.0000 0.0000 0.0000  4 Sn 3.29, 4 Sb 3.29
U1 0.5000 0.5000 0.5000  4 Sn 3.29, 4 Sb 3.29
Sn1 0.2500 0.2500 0.2500  4 U 3.29, 4 Pm 3.29
Sb1 0.7500 0.7500 0.7500  4 U 3.29, 4 Pm 3.29

---

(7)
Below is an optimized crystal structure of SrPm3Sb3, with properties calculated at the PBE-GGA level.

Results
Total magnetization ... 0.0 μB per formula unit
DFT total energy ... -69.53 eV/cell
Density ... 6.057 g/cm3
Density of states at the Fermi level ... 4.746 states/eV/f.u.
V ... 34.8 Å³/atom
Raw formation energy ... -0.9237 eV/atom

a = 8.3295 Å, b = 8.3295 Å, c = 8.3295 Å
α = 69.12°, β = 69.12°, γ = 69.12°
Last column: nearest neighbours and their distance in Å.
Atoms (fractional coordinates):
Sr1 0.1661 0.1661 0.1661  6 Sb 3.32-3.39
Sr2 0.8339 0.8339 0.8339  6 Sb 3.32-3.39
Pm1 0.1434 0.6875 0.4083  5 Sb 3.15-3.36
Pm2 0.3125 0.5917 0.8566  5 Sb 3.15-3.36
Pm3 0.4083 0.1434 0.6875  5 Sb 3.15-3.36
Pm4 0.5917 0.8566 0.3125  5 Sb 3.15-3.36
Pm5 0.6875 0.4083 0.1434  5 Sb 3.15-3.36
Pm6 0.8566 0.3125 0.5917  5 Sb 3.15-3.36
Sb1 0.0432 0.4249 0.7887  5 Pm 3.15-3.36, 2 Sr 3.32-3.39
Sb2 0.2113 0.9568 0.5751  5 Pm 3.15-3.36, 2 Sr 3.32-3.39
Sb3 0.4249 0.7887 0.0432  5 Pm 3.15-3.36, 2 Sr 3.32-3.39
Sb4 0.5751 0.2113 0.9568  5 Pm 3.15-3.36, 2 Sr 3.32-3.39
Sb5 0.7887 0.0432 0.4249  5 Pm 3.15-3.36, 2 Sr 3.32-3.39
Sb6 0.9568 0.5751 0.2113  5 Pm 3.15-3.36, 2 Sr 3.32-3.39

---

(8)
Below is an optimized crystal structure of SrPm5Sb6, with properties calculated at the PBE-GGA level.

Results
Total magnetization ... 0.0 μB per formula unit
DFT total energy ... -63.57 eV/cell
Density ... 6.480 g/cm3
Density of states at the Fermi level ... 4.241 states/eV/f.u.
V ... 33.0 Å³/atom
Raw formation energy ... -1.1165 eV/atom

a = 7.8466 Å, b = 7.8466 Å, c = 7.8696 Å
α = 99.58°, β = 99.58°, γ = 120.05°
Last column: nearest neighbours and their distance in Å.
Atoms (fractional coordinates):
Sr1 0.0000 0.0000 0.0000  6 Sb 3.28-3.29
Pm1 0.1638 0.8362 0.5000  6 Sb 3.15-3.22
Pm2 0.3323 0.6677 0.0000  6 Sb 3.19-3.20
Pm3 0.5000 0.5000 0.5000  6 Sb 3.13-3.21
Pm4 0.6677 0.3323 0.0000  6 Sb 3.19-3.20
Pm5 0.8362 0.1638 0.5000  6 Sb 3.15-3.22
Sb1 0.0856 0.4275 0.2553  5 Pm 3.15-3.22, 1 Sr 3.29
Sb2 0.2579 0.2579 0.7468  5 Pm 3.13-3.20, 1 Sr 3.28
Sb3 0.4275 0.0856 0.2553  5 Pm 3.15-3.22, 1 Sr 3.29
Sb4 0.5725 0.9144 0.7447  5 Pm 3.15-3.22, 1 Sr 3.29
Sb5 0.7421 0.7421 0.2532  5 Pm 3.13-3.20, 1 Sr 3.28
Sb6 0.9144 0.5725 0.7447  5 Pm 3.15-3.22, 1 Sr 3.29